Entry 1:
{
  "formula": "CaMgCd2",
  "functional": "PBEsol",
  "state": "optimized geometry",
  "lattice": [[7.130, 0.000, 0.000], [0.000, 7.130, 0.000], [0.000, 0.000, 7.130]],
  "species": ["Ca", "Ca", "Ca", "Ca", "Mg", "Mg", "Mg", "Mg", "Cd", "Cd", "Cd", "Cd", "Cd", "Cd", "Cd", "Cd"],
  "frac_coords": [[0.000, 0.000, 0.000], [0.000, 0.500, 0.500], [0.500, 0.000, 0.500], [0.500, 0.500, 0.000], [0.250, 0.250, 0.250], [0.250, 0.750, 0.750], [0.750, 0.250, 0.750], [0.750, 0.750, 0.250], [0.000, 0.000, 0.500], [0.000, 0.500, 0.000], [0.250, 0.250, 0.750], [0.250, 0.750, 0.250], [0.500, 0.000, 0.000], [0.500, 0.500, 0.500], [0.750, 0.250, 0.250], [0.750, 0.750, 0.750]],
  "final_energy_ev_per_cell": -28.6,
  "dos_at_fermi_per_ev_cell": 5.66,
  "sg": "F-43m, No. 216",
  "total_magnetization_mub_per_fu": 0.0,
  "ef_kj_per_mol_atoms": -22
}

=====

Entry 2:
{
  "formula": "Mg2Tl",
  "functional": "PBEsol",
  "state": "optimized geometry",
  "lattice": [[4.914, 0.000, 0.000], [-2.457, 4.256, 0.000], [0.000, 0.000, 3.385]],
  "species": ["Mg", "Mg", "Tl"],
  "frac_coords": [[0.333, 0.667, 0.221], [0.667, 0.333, 0.779], [0.000, 0.000, 0.500]],
  "final_energy_ev_per_cell": -6.1,
  "dos_at_fermi_per_ev_cell": 1.44,
  "sg": "P-3m1, No. 164",
  "total_magnetization_mub_per_fu": 0.0,
  "ef_kj_per_mol_atoms": -2
}

=====

Repeat the first record exactly.
{
  "formula": "CaMgCd2",
  "functional": "PBEsol",
  "state": "optimized geometry",
  "lattice": [[7.130, 0.000, 0.000], [0.000, 7.130, 0.000], [0.000, 0.000, 7.130]],
  "species": ["Ca", "Ca", "Ca", "Ca", "Mg", "Mg", "Mg", "Mg", "Cd", "Cd", "Cd", "Cd", "Cd", "Cd", "Cd", "Cd"],
  "frac_coords": [[0.000, 0.000, 0.000], [0.000, 0.500, 0.500], [0.500, 0.000, 0.500], [0.500, 0.500, 0.000], [0.250, 0.250, 0.250], [0.250, 0.750, 0.750], [0.750, 0.250, 0.750], [0.750, 0.750, 0.250], [0.000, 0.000, 0.500], [0.000, 0.500, 0.000], [0.250, 0.250, 0.750], [0.250, 0.750, 0.250], [0.500, 0.000, 0.000], [0.500, 0.500, 0.500], [0.750, 0.250, 0.250], [0.750, 0.750, 0.750]],
  "final_energy_ev_per_cell": -28.6,
  "dos_at_fermi_per_ev_cell": 5.66,
  "sg": "F-43m, No. 216",
  "total_magnetization_mub_per_fu": 0.0,
  "ef_kj_per_mol_atoms": -22
}